VASP calculation (PBE) on an optimized crystal structure of KBa2Os. Values from VASP.

```
&SYSTEM
  ibrav = 0, nat = 4, ntyp = 3
/
ATOMIC_SPECIES
K 39.10 K.upf
Ba 137.33 Ba.upf
Os 190.23 Os.upf
CELL_PARAMETERS angstrom
3.885 0.003 0.000
-0.004 3.885 0.000
0.000 0.000 11.199
ATOMIC_POSITIONS angstrom
K 0.000 0.000 6.526
Ba 1.940 1.944 2.577
Ba 0.000 0.000 10.234
Os 1.940 1.944 8.662
```

Properties
Its energy above the most stable polymorph in this dataset is 0.433 eV per atom. The total energy is -12.3 eV/cell. The total moment comes out at 0.07 μB/atom. As for the symmetry: P4mm (99).